(1)
A plane-wave DFT calculation with PBE was carried out for a geometry-optimized Pm5Nd3Y3 structure.

Results
Uncorrected energy (eV/atom): -4.46
Symmetry: P-62m, No. 189

Structure (POSCAR):
```
Pm5Nd3Y3
1.0
5.5736 0.0000 0.0000
0.0000 9.7491 0.0000
0.0000 -4.8746 8.4430
Pm Nd Y
5 3 3
Direct
0.5000 0.3333 0.6667
0.5000 0.6667 0.3333
0.5000 0.2693 0.2693
0.5000 0.0000 0.7307
0.5000 0.7307 0.0000
0.5000 0.6404 0.6404
0.5000 0.0000 0.3596
0.5000 0.3596 0.0000
0.0000 0.4657 0.4657
0.0000 0.5343 0.0000
0.0000 0.0000 0.5343
```

---

(2)
A plane-wave DFT calculation with PBE was carried out for a geometry-optimized Pm4Nd3Y8 structure.

Results
Uncorrected energy (eV/atom): -5.31
Symmetry: C2/m, No. 12

Structure (POSCAR):
```
Pm4Nd3Y8
1.0
-6.3896 0.4004 -2.3470
4.8501 -6.7007 -4.4357
0.4834 -5.3770 7.6780
Pm Nd Y
4 3 8
Direct
0.5000 0.0000 0.0000
0.0000 0.5000 0.0000
0.0000 0.0000 0.0000
0.0000 0.0000 0.5000
0.5000 0.5000 0.0000
0.5000 0.0000 0.5000
0.5000 0.5000 0.5000
0.5277 0.2665 0.2665
0.0000 0.6420 0.3580
0.0070 0.2657 0.2657
0.5000 0.7455 0.2545
0.5000 0.2545 0.7455
0.9930 0.7343 0.7343
0.0000 0.3580 0.6420
0.4723 0.7335 0.7335
```

---

(3)
A plane-wave DFT calculation with PBE was carried out for a geometry-optimized PmNdY structure.

Results
Uncorrected energy (eV/atom): -5.31
Symmetry: Cm, No. 8

Structure (POSCAR):
```
PmNdY
1.0
3.6594 0.0040 0.0079
1.8249 3.1062 0.6245
-0.0199 0.3668 9.0822
Pm Nd Y
1 1 1
Direct
0.6499 0.1223 0.2761
0.0913 0.2395 0.6158
0.8710 0.6805 0.9477
```

---

(4)
A plane-wave DFT calculation with PBE was carried out for a geometry-optimized Pm2NdY structure.

Results
Uncorrected energy (eV/atom): -5.17
Symmetry: R-3m, No. 166

Structure (POSCAR):
```
Pm2NdY
1.0
3.6407 0.0000 0.0000
1.8204 3.1530 0.0000
1.8204 1.0510 11.8660
Y Nd Pm
1 1 2
Direct
0.5000 0.5000 0.5000
0.0000 0.0000 0.0000
0.7511 0.7511 0.7468
0.2489 0.2489 0.2532
```

---

(5)
A plane-wave DFT calculation with PBE was carried out for a geometry-optimized Pm6Nd5Y structure.

Results
Uncorrected energy (eV/atom): -4.89
Symmetry: C2/m, No. 12

Structure (POSCAR):
```
Pm6Nd5Y
1.0
-7.4391 3.2025 -9.0506
0.8532 -4.9086 -3.9226
-3.6984 -5.1254 0.4840
Pm Nd Y
6 5 1
Direct
0.7509 0.0826 0.3329
0.2491 0.5845 0.3329
0.2492 0.2502 0.0000
0.7508 0.7498 0.0000
0.7509 0.4155 0.6671
0.2491 0.9174 0.6671
0.5000 0.1665 0.6670
0.0000 0.3332 0.3336
0.5000 0.5000 0.0000
0.0000 0.6668 0.6664
0.5000 0.8335 0.3330
0.0000 0.0000 0.0000
```

---

(6)
A plane-wave DFT calculation with PBE was carried out for a geometry-optimized PmNd2Y7 structure.

Results
Uncorrected energy (eV/atom): -5.72
Symmetry: Immm, No. 71

Structure (POSCAR):
```
PmNd2Y7
1.0
5.4544 0.3217 0.6476
0.0033 7.2155 -3.6143
1.6978 0.0055 9.0274
Pm Nd Y
1 2 7
Direct
0.0000 0.0000 0.0000
0.2115 0.7884 0.5769
0.7885 0.2116 0.4231
0.8483 0.6517 0.3040
0.1517 0.3483 0.6960
0.6323 0.6672 0.7351
0.3677 0.3328 0.2649
0.3675 0.9321 0.2652
0.6325 0.0679 0.7348
0.5000 0.5000 0.0000
```

---

(7)
A plane-wave DFT calculation with PBE was carried out for a geometry-optimized Pm8Nd5Y structure.

Results
Uncorrected energy (eV/atom): -4.64
Symmetry: I-4, No. 82

Structure (POSCAR):
```
Pm8Nd5Y
1.0
-6.4327 5.7008 -0.8565
-2.5059 -7.8697 -2.5297
2.2137 -0.0116 8.3493
Pm Nd Y
8 5 1
Direct
0.1708 0.7356 0.0740
0.9260 0.0968 0.6616
0.7292 0.2555 0.3328
0.6672 0.3964 0.9228
0.5264 0.6036 0.2708
0.5648 0.9032 0.8292
0.3384 0.2644 0.4352
0.0772 0.7445 0.4736
0.0318 0.3176 0.1348
0.8652 0.8970 0.1829
0.8171 0.6824 0.7142
0.5000 0.0000 0.5000
0.2858 0.1030 0.9682
0.2500 0.5000 0.7500
```

---

(8)
A plane-wave DFT calculation with PBE was carried out for a geometry-optimized Pm4NdY8 structure.

Results
Uncorrected energy (eV/atom): -5.61
Symmetry: R-3m, No. 166

Structure (POSCAR):
```
Pm4NdY8
1.0
0.8335 3.5611 -6.4615
5.0799 -4.9513 2.1923
-6.8608 -7.3312 -0.6594
Pm Nd Y
4 1 8
Direct
0.0000 0.0000 0.0000
0.0000 0.5000 0.0000
0.5000 0.5000 0.0000
0.5000 0.0000 0.0000
0.0000 0.5000 0.5000
0.5639 0.7819 0.3459
0.4361 0.2181 0.6541
0.5015 0.2508 0.3098
0.9410 0.1918 0.6902
0.4985 0.7492 0.6902
0.9410 0.7492 0.6902
0.0590 0.2508 0.3098
0.0590 0.8082 0.3098
```

---

(9)
A plane-wave DFT calculation with PBE was carried out for a geometry-optimized Pm2Nd3Y structure.

Results
Uncorrected energy (eV/atom): -4.49
Symmetry: Ibam, No. 72

Structure (POSCAR):
```
Pm2Nd3Y
1.0
9.8095 0.0000 5.6212
3.5469 6.4136 5.1801
1.4593 0.7558 8.8232
Pm Nd Y
4 6 2
Direct
0.9487 0.2969 0.2969
0.5425 0.2031 0.2031
0.4575 0.7969 0.7969
0.0513 0.7031 0.7031
0.5000 0.2500 0.7500
0.5000 0.7500 0.2500
0.2366 0.0134 0.5134
0.7634 0.4866 0.9866
0.7634 0.9866 0.4866
0.2366 0.5134 0.0134
0.0000 0.5000 0.5000
0.0000 0.0000 0.0000
```

---

(10)
A plane-wave DFT calculation with PBE was carried out for a geometry-optimized Pm3Nd2Y7 structure.

Results
Uncorrected energy (eV/atom): -5.59
Symmetry: Cmmm, No. 65

Structure (POSCAR):
```
Pm3Nd2Y7
1.0
-2.7203 -1.6788 1.7364
-3.1828 -0.0073 -4.9934
8.9860 -16.8278 -2.1921
Pm Nd Y
3 2 7
Direct
0.5000 0.5000 0.0000
0.5000 0.6492 0.2983
0.5000 0.3508 0.7017
0.0000 0.8250 0.6500
0.0000 0.1750 0.3500
0.0000 0.4274 0.8548
0.0000 0.7288 0.4575
0.0000 0.0000 0.0000
0.0000 0.5726 0.1452
0.5000 0.0877 0.1755
0.5000 0.9123 0.8245
0.0000 0.2712 0.5425
```

---

(11)
A plane-wave DFT calculation with PBE was carried out for a geometry-optimized PmNd4Y structure.

Results
Uncorrected energy (eV/atom): -4.43
Symmetry: Cmmm, No. 65

Structure (POSCAR):
```
PmNd4Y
1.0
3.5122 0.0000 0.0000
0.0001 8.3408 -0.0314
0.0001 -0.0174 8.3407
Pm Nd Y
1 4 1
Direct
0.5000 0.0000 0.0000
0.5000 0.2621 0.7379
0.0000 0.7605 0.7604
0.0000 0.2395 0.2396
0.5000 0.7379 0.2621
0.0000 0.5000 0.5000
```

---

(12)
A plane-wave DFT calculation with PBE was carried out for a geometry-optimized PmNd2Y12 structure.

Results
Uncorrected energy (eV/atom): -5.96
Symmetry: Cmme, No. 67

Structure (POSCAR):
```
PmNd2Y12
1.0
-4.4208 2.7344 -4.2728
4.3380 -4.4320 -2.6109
-16.0556 -18.5193 4.7603
Pm Nd Y
2 4 24
Direct
0.5000 0.0000 0.9996
0.0000 0.5000 0.0004
0.5000 0.0000 0.2659
0.0000 0.5000 0.2708
0.0000 0.5000 0.7341
0.5000 0.0000 0.7292
0.5000 0.5000 0.8007
0.0000 0.0000 0.8007
0.7511 0.7489 0.9223
0.2507 0.7507 0.8726
0.0000 0.0000 0.3278
0.2493 0.7493 0.1274
0.7611 0.2611 0.5844
0.5000 0.5000 0.3278
0.2489 0.2511 0.9223
0.7489 0.7511 0.0777
0.2641 0.2359 0.5606
0.7389 0.2389 0.4156
0.0000 0.0000 0.6722
0.2359 0.2641 0.4394
0.2511 0.2489 0.0777
0.7641 0.7359 0.4394
0.7359 0.7641 0.5606
0.0000 0.0000 0.1993
0.2389 0.7389 0.5844
0.5000 0.5000 0.6722
0.7493 0.2493 0.8726
0.5000 0.5000 0.1993
0.2611 0.7611 0.4156
0.7507 0.2507 0.1274
```

---

(13)
A plane-wave DFT calculation with PBE was carried out for a geometry-optimized PmNdY structure.

Results
Uncorrected energy (eV/atom): -5.31
Symmetry: P3m1, No. 156

Structure (POSCAR):
```
PmNdY
1.0
-0.7596 -0.8673 -3.4470
2.9588 -1.3674 1.6083
-4.7502 -6.9815 2.8034
Y Nd Pm
1 1 1
Direct
0.6667 0.3333 0.3341
0.0000 0.0000 0.0028
0.3333 0.6667 0.6630
```

---

(14)
A plane-wave DFT calculation with PBE was carried out for a geometry-optimized Pm2Nd12Y5 structure.

Results
Uncorrected energy (eV/atom): -5.10
Symmetry: C2/m, No. 12

Structure (POSCAR):
```
Pm2Nd12Y5
1.0
9.3444 0.0000 0.0000
-4.6722 11.5268 -2.0818
0.0000 -5.2744 7.1026
Pm Nd Y
2 12 5
Direct
0.6710 0.0000 0.0000
0.3290 0.0000 0.0000
0.0800 0.1599 0.2766
0.0307 0.6987 0.9370
0.6680 0.6987 0.9370
0.1735 0.7413 0.4195
0.5678 0.7413 0.4195
0.5602 0.1203 0.7758
0.4398 0.8797 0.2242
0.8265 0.2587 0.5805
0.4322 0.2587 0.5805
0.9693 0.3013 0.0630
0.3320 0.3013 0.0630
0.9200 0.8401 0.7234
0.2950 0.5900 0.6205
0.2318 0.4636 0.8966
0.0000 0.0000 0.5000
0.7682 0.5364 0.1034
0.7050 0.4100 0.3795
```

---

(15)
A plane-wave DFT calculation with PBE was carried out for a geometry-optimized Pm4Nd19Y6 structure.

Results
Uncorrected energy (eV/atom): -4.76
Symmetry: I23, No. 197

Structure (POSCAR):
```
Pm4Nd19Y6
1.0
10.4134 0.0000 -3.6817
-5.2067 9.0182 -3.6817
0.0000 0.0000 11.0451
Pm Nd Y
4 19 6
Direct
0.0000 0.0000 0.6342
0.0000 0.6342 0.0000
0.3658 0.3658 0.3658
0.6342 0.0000 0.0000
0.7440 0.0000 0.7440
0.2560 0.0000 0.2560
0.2560 0.2560 0.0000
0.7440 0.7440 0.0000
0.0000 0.7440 0.7440
0.0000 0.2560 0.2560
0.0000 0.0000 0.0000
0.1978 0.2223 0.5410
0.8022 0.3432 0.0246
0.6813 0.6568 0.4590
0.0246 0.8022 0.3432
0.3187 0.7777 0.9754
0.5410 0.1978 0.2223
0.9754 0.3187 0.7777
0.4590 0.6813 0.6568
0.7777 0.9754 0.3187
0.3432 0.0246 0.8022
0.2223 0.5410 0.1978
0.6568 0.4590 0.6813
0.3751 0.5000 0.8751
0.6249 0.5000 0.1249
0.1249 0.6249 0.5000
0.8751 0.3751 0.5000
0.5000 0.8751 0.3751
0.5000 0.1249 0.6249
```

---

(16)
A plane-wave DFT calculation with PBE was carried out for a geometry-optimized Pm2NdY5 structure.

Results
Uncorrected energy (eV/atom): -5.67
Symmetry: C2/c, No. 15

Structure (POSCAR):
```
Pm2NdY5
1.0
-9.9086 -0.8609 1.0179
0.8748 -4.3474 4.8389
4.2635 10.0741 0.9221
Pm Nd Y
4 2 10
Direct
0.1763 0.4623 0.8449
0.6686 0.9623 0.8449
0.8237 0.5377 0.1551
0.3314 0.0377 0.1551
0.0000 0.0000 0.5000
0.5000 0.5000 0.5000
0.4905 0.4462 0.8025
0.9415 0.7500 0.0000
0.0585 0.2500 0.0000
0.8926 0.6296 0.6067
0.1074 0.3704 0.3933
0.7140 0.1296 0.6067
0.2860 0.8704 0.3933
0.5095 0.5538 0.1975
0.3120 0.9462 0.8025
0.6880 0.0538 0.1975
```

---

(17)
A plane-wave DFT calculation with PBE was carried out for a geometry-optimized Pm4Nd7Y structure.

Results
Uncorrected energy (eV/atom): -4.89
Symmetry: P-1, No. 2

Structure (POSCAR):
```
Pm4Nd7Y
1.0
6.5573 -1.9030 2.8100
0.7353 5.9161 2.2964
2.8571 -2.3746 11.1455
Pm Nd Y
4 7 1
Direct
0.4188 0.7225 0.3312
0.5812 0.2775 0.6688
0.8325 0.7773 0.6674
0.1675 0.2227 0.3326
0.7497 0.5002 0.0003
0.2503 0.4998 0.9997
0.0811 0.2778 0.6683
0.9189 0.7222 0.3317
0.3330 0.7774 0.6669
0.5000 0.0000 0.0000
0.6670 0.2226 0.3331
0.0000 0.0000 0.0000
```

---

(18)
A plane-wave DFT calculation with PBE was carried out for a geometry-optimized Pm6NdY4 structure.

Results
Uncorrected energy (eV/atom): -5.26
Symmetry: Cmcm, No. 63

Structure (POSCAR):
```
Pm6NdY4
1.0
-0.0212 -5.7596 1.1942
-0.9514 1.9117 -5.2832
25.5004 -1.1306 -5.0014
Pm Nd Y
12 2 8
Direct
0.5000 0.0000 0.0000
0.5000 0.0000 0.5000
0.1246 0.2492 0.3182
0.8754 0.7508 0.6818
0.8754 0.7508 0.8182
0.1246 0.2492 0.1818
0.8013 0.6027 0.3996
0.1987 0.3973 0.6004
0.1987 0.3973 0.8996
0.8013 0.6027 0.1004
0.4513 0.9026 0.2500
0.5487 0.0974 0.7500
0.7897 0.5793 0.2500
0.2103 0.4207 0.7500
0.8492 0.6984 0.5437
0.4592 0.9185 0.1235
0.1508 0.3016 0.4563
0.5408 0.0815 0.8765
0.8492 0.6984 0.9563
0.1508 0.3016 0.0437
0.5408 0.0815 0.6235
0.4592 0.9185 0.3765
```

---

(19)
A plane-wave DFT calculation with PBE was carried out for a geometry-optimized Pm3NdY7 structure.

Results
Uncorrected energy (eV/atom): -5.70
Symmetry: P2/m, No. 10

Structure (POSCAR):
```
Pm3NdY7
1.0
-3.0394 -3.8655 -2.6516
7.4041 -1.1212 -6.8471
4.0189 -0.5558 7.9672
Pm Nd Y
3 1 7
Direct
0.2825 0.9996 0.7829
0.0000 0.5000 0.0000
0.7175 0.0004 0.2171
0.5000 0.5000 0.5000
0.9163 0.8298 0.9163
0.8561 0.7129 0.3561
0.6806 0.3624 0.1805
0.3194 0.6376 0.8195
0.5000 0.0000 0.5000
0.1439 0.2871 0.6439
0.0837 0.1702 0.0837
```

---

| no. | formation energy from the elements (eV/atom) | DOS at the Fermi energy (states/eV per cell) |
| --- | --- | --- |
| 1 | 0.760 | 16.75 |
| 2 | 0.363 | 31.46 |
| 3 | 0.020 | 3.99 |
| 4 | 0.013 | 5.32 |
| 5 | 0.012 | 17.98 |
| 6 | 0.229 | 16.09 |
| 7 | 0.234 | 20.55 |
| 8 | 0.192 | 16.30 |
| 9 | 0.551 | 21.47 |
| 10 | 0.163 | 20.66 |
| 11 | 0.613 | 10.07 |
| 12 | 0.167 | 53.34 |
| 13 | 0.015 | 4.22 |
| 14 | 0.117 | 26.34 |
| 15 | 0.361 | 40.85 |
| 16 | 0.153 | 25.65 |
| 17 | 0.010 | 15.55 |
| 18 | 0.113 | 39.97 |
| 19 | 0.139 | 18.12 |